VASP calculation (PBE-GGA) on an optimized crystal structure of TbZrInPd.

Properties
The crystal system is cubic. As for the space group: No. 216. For the energy relative to the elements, the calculation gives -0.401 eV per atom.

Unit cell a=5.037 b=5.037 c=5.037 alpha=60.00 beta=60.00 gamma=60.00
Site moments in Bohr magnetons follow the coordinates.
Positions (direct):
In: 0.250 0.250 0.250  0.00
Tb: 0.500 0.500 0.500  0.14
Pd: 0.750 0.750 0.750  0.06
Zr: 0.000 0.000 0.000  0.33

VASP calculation (PBE-GGA) on an optimized crystal structure of KRbP2Cl.

Properties
As for the formation energy (no corrections): 0.422 eV per atom. The crystal system is tetragonal. As for the space group: No. 123. The polymorph energy (0 for the lowest one) comes out at 93 meV/atom.

Unit cell a=6.449 b=6.449 c=6.127 alpha=90.00 beta=90.00 gamma=90.00
Site moments in Bohr magnetons follow the coordinates.
Positions (direct):
Rb: 0.000 0.000 0.000  0.06
P: 0.000 0.500 0.000  0.98
K: 0.500 0.500 0.500  0.00
P: 0.500 0.000 0.000  0.98
Cl: 0.000 0.000 0.500  0.06

VASP calculation (PBE-GGA) on an optimized crystal structure of Nd7GaI12.

Properties
As for the formation energy (no corrections): -1.268 eV per atom. The crystal system is trigonal. As for the space group: No. 148.

Unit cell a=9.996 b=9.996 c=9.996 alpha=107.89 beta=107.89 gamma=107.89
Positions (direct):
Nd: 0.964 0.680 0.892
I: 0.231 0.078 0.688
Ga: 0.000 0.000 0.000
Nd: 0.892 0.964 0.680
I: 0.155 0.392 0.473
I: 0.392 0.473 0.155
I: 0.769 0.922 0.312
I: 0.312 0.769 0.922
Nd: 0.500 0.500 0.500
I: 0.608 0.527 0.845
Nd: 0.108 0.036 0.320
I: 0.845 0.608 0.527
I: 0.473 0.155 0.392
I: 0.527 0.845 0.608
Nd: 0.320 0.108 0.036
I: 0.688 0.231 0.078
I: 0.078 0.688 0.231
Nd: 0.680 0.892 0.964
Nd: 0.036 0.320 0.108
I: 0.922 0.312 0.769

VASP calculation (PBE-GGA) on an optimized crystal structure of VPb3S.

Properties
As for the formation energy (no corrections): 0.454 eV per atom. The crystal system is cubic. As for the space group: No. 221. The polymorph energy (0 for the lowest one) comes out at 0 meV/atom.

Unit cell a=5.289 b=5.289 c=5.289 alpha=90.00 beta=90.00 gamma=90.00
Site moments in Bohr magnetons follow the coordinates.
Positions (direct):
Pb: 0.000 0.500 0.000  0.01
S: 0.500 0.500 0.500  0.39
V: 0.000 0.000 0.000  1.46
Pb: 0.000 0.000 0.500  0.01
Pb: 0.500 0.000 0.000  0.01

VASP calculation (PBE-GGA) on an optimized crystal structure of TeSeIN2.

Properties
As for the formation energy (no corrections): 1.413 eV per atom. The crystal system is tetragonal. As for the space group: No. 123. The polymorph energy (0 for the lowest one) comes out at 49 meV/atom.

Unit cell a=4.043 b=4.043 c=8.357 alpha=90.00 beta=90.00 gamma=90.00
Positions (direct):
I: 0.000 0.000 0.500
N: 0.500 0.000 0.000
Se: 0.500 0.500 0.500
Te: 0.000 0.000 0.000
N: 0.000 0.500 0.000

VASP calculation (PBE-GGA) on an optimized crystal structure of PrDy3Mg.

Properties
The crystal system is hexagonal. As for the space group: No. 194. For the energy relative to the elements, the calculation gives 0.206 eV per atom. The polymorph energy (0 for the lowest one) comes out at 221 meV/atom.

Unit cell a=5.802 b=8.096 c=8.095 alpha=120.00 beta=90.00 gamma=90.00
Positions (direct):
Dy: 0.750 0.194 0.806
Pr: 0.250 0.333 0.667
Dy: 0.250 0.806 0.194
Dy: 0.250 0.806 0.612
Dy: 0.750 0.194 0.388
Mg: 0.000 0.000 0.000
Pr: 0.750 0.667 0.333
Dy: 0.750 0.612 0.806
Dy: 0.250 0.388 0.194
Mg: 0.500 0.000 0.000

VASP calculation (PBE-GGA) on an optimized crystal structure of CaPrMg2In2.

Properties
The crystal system is trigonal. As for the space group: No. 164. For the energy relative to the elements, the calculation gives -0.377 eV per atom.

Unit cell a=5.067 b=5.067 c=7.392 alpha=90.00 beta=90.00 gamma=120.00
Positions (direct):
In: 0.333 0.667 0.234
Ca: 0.000 0.000 0.500
Mg: 0.333 0.667 0.758
Mg: 0.667 0.333 0.242
In: 0.667 0.333 0.766
Pr: 0.000 0.000 0.000

VASP calculation (PBE-GGA) on an optimized crystal structure of VReOs.

Properties
The crystal system is tetragonal. As for the space group: No. 107. For the energy relative to the elements, the calculation gives -0.027 eV per atom. The polymorph energy (0 for the lowest one) comes out at 0 meV/atom.

Unit cell a=3.040 b=3.040 c=5.103 alpha=107.33 beta=107.33 gamma=90.00
Positions (direct):
V: 0.669 0.669 0.338
Os: 0.009 0.009 0.018
Re: 0.322 0.322 0.644

VASP calculation (PBE-GGA) on an optimized crystal structure of Er3TlHg4.

Properties
The crystal system is trigonal. As for the space group: No. 166. For the energy relative to the elements, the calculation gives -0.379 eV per atom. The polymorph energy (0 for the lowest one) comes out at 0 meV/atom.

Unit cell a=5.151 b=5.151 c=9.212 alpha=73.76 beta=73.76 gamma=60.00
Positions (direct):
Hg: 0.867 0.867 0.398
Er: 0.500 0.500 0.500
Tl: 0.000 0.000 0.000
Hg: 0.133 0.133 0.602
Er: 0.256 0.256 0.231
Er: 0.744 0.744 0.769
Hg: 0.619 0.619 0.142
Hg: 0.381 0.381 0.858

VASP calculation (PBE-GGA) on an optimized crystal structure of UTiSe.

Properties
As for the formation energy (no corrections): -0.501 eV per atom. The crystal system is tetragonal. As for the space group: No. 129.

Unit cell a=3.471 b=3.471 c=8.919 alpha=90.00 beta=90.00 gamma=90.00
Positions (direct):
Se: 0.000 0.500 0.280
U: 0.000 0.500 0.943
Ti: 0.500 0.000 0.416
U: 0.500 0.000 0.057
Ti: 0.000 0.500 0.584
Se: 0.500 0.000 0.720

VASP calculation (PBE-GGA) on an optimized crystal structure of Ba2LiNi9.

Properties
The crystal system is trigonal. As for the space group: No. 166. For the energy relative to the elements, the calculation gives 0.173 eV per atom.

Unit cell a=5.093 b=5.093 c=8.962 alpha=73.49 beta=73.49 gamma=60.00
Site moments in Bohr magnetons follow the coordinates.
Positions (direct):
Ni: 0.571 0.081 0.777  0.43
Ni: 0.081 0.571 0.777  0.43
Ba: 0.865 0.865 0.405  -0.05
Ni: 0.668 0.668 0.995  0.61
Ni: 0.500 0.500 0.500  0.16
Ni: 0.919 0.429 0.223  0.43
Ni: 0.429 0.919 0.223  0.43
Li: 0.000 0.000 0.000  -0.01
Ni: 0.332 0.332 0.005  0.61
Ni: 0.571 0.571 0.777  0.43
Ni: 0.429 0.429 0.223  0.43
Ba: 0.135 0.135 0.595  -0.05

VASP calculation (PBE-GGA) on an optimized crystal structure of NaLiZn2.

Properties
The crystal system is trigonal. As for the space group: No. 166. For the energy relative to the elements, the calculation gives 0.059 eV per atom. The polymorph energy (0 for the lowest one) comes out at 85 meV/atom.

Unit cell a=3.016 b=3.016 c=9.740 alpha=81.09 beta=81.09 gamma=60.00
Positions (direct):
Zn: 0.742 0.742 0.775
Na: 0.500 0.500 0.500
Zn: 0.258 0.258 0.225
Li: 0.000 0.000 0.000